Record 1
# Ac2Pm3Sm7

An optimized crystal structure of Ac2Pm3Sm7 (PBE, Alexandria).

Summary:
D(E_F) (states/eV per cell): 18.74
Final energy (eV per formula unit): -54.39
Mass density (g/cm³): 7.485
E_form (kJ/mol of formula units): 107.1

abc: 3.6575 6.5181 18.6101
angles: 76.14 90.00 90.00
Closest atoms and distances in Å follow each position.
Atoms (fractional coordinates):
Ac (0.5000, 0.6161, 0.3267)  5 Sm 3.56-3.69, 2 Ac 3.66, 4 Pm 3.71-3.77
Ac (0.5000, 0.3839, 0.6733)  5 Sm 3.56-3.69, 2 Ac 3.66, 4 Pm 3.71-3.77
Pm (0.5000, 0.5000, 0.0000)  10 Sm 3.60-3.74, 2 Pm 3.66
Pm (0.0000, 0.1128, 0.3393)  2 Pm 3.66, 4 Ac 3.71-3.77, 7 Sm 3.77-3.88
Pm (0.0000, 0.8872, 0.6607)  2 Pm 3.66, 4 Ac 3.71-3.77, 7 Sm 3.77-3.88
Sm (0.5000, 0.2398, 0.5004)  2 Sm 3.13-3.39
Sm (0.5000, 0.7602, 0.4996)  2 Sm 3.13-3.39
Sm (0.0000, 0.5629, 0.1602)  7 Sm 3.60-3.77, 3 Pm 3.60-3.88, 2 Ac 3.69
Sm (0.0000, 0.0000, 0.0000)  8 Sm 3.60-3.66, 4 Pm 3.74
Sm (0.0000, 0.4371, 0.8398)  7 Sm 3.60-3.77, 3 Pm 3.60-3.88, 2 Ac 3.69
Sm (0.5000, 0.9338, 0.8367)  3 Pm 3.62-3.83, 8 Sm 3.66-3.77, 1 Ac 3.69
Sm (0.5000, 0.0662, 0.1633)  3 Pm 3.62-3.83, 8 Sm 3.66-3.77, 1 Ac 3.69

Record 2
# Ac2PmSm

An optimized crystal structure of Ac2PmSm (PBE, Alexandria).

Summary:
Energy above the lowest structure with this stoichiometry (eV/f.u.): 0.31
D(E_F) (states/eV per cell): 7.94
Final energy (eV per formula unit): -17.25
Mass density (g/cm³): 7.912
E_form (kJ/mol of formula units): 42.0

abc: 6.0589 6.0589 6.0589
angles: 60.00 60.00 60.00
Closest atoms and distances in Å follow each position.
Atoms (fractional coordinates):
Ac (0.2500, 0.2500, 0.2500)  4 Sm 3.71, 4 Pm 3.71
Ac (0.7500, 0.7500, 0.7500)  4 Pm 3.71, 4 Sm 3.71
Sm (0.5000, 0.5000, 0.5000)  8 Ac 3.71
Pm (0.0000, 0.0000, 0.0000)  8 Ac 3.71

Record 3
# AcPmSm3

An optimized crystal structure of AcPmSm3 (PBE, Alexandria).

Summary:
Energy above the lowest structure with this stoichiometry (eV/f.u.): 0.00
D(E_F) (states/eV per cell): 27.90
Final energy (eV per formula unit): -22.87
Mass density (g/cm³): 7.616
E_form (kJ/mol of formula units): 14.1

abc: 3.7233 10.4229 18.4970
angles: 90.00 90.00 90.00
Closest atoms and distances in Å follow each position.
Atoms (fractional coordinates):
Ac (0.7500, 0.6240, 0.6502)  8 Sm 3.69-3.73, 2 Ac 3.72, 2 Pm 3.75
Ac (0.2500, 0.8760, 0.1502)  8 Sm 3.69-3.73, 2 Ac 3.72, 2 Pm 3.75
Ac (0.2500, 0.3760, 0.3498)  8 Sm 3.69-3.73, 2 Ac 3.72, 2 Pm 3.75
Ac (0.7500, 0.1240, 0.8498)  8 Sm 3.69-3.73, 2 Ac 3.72, 2 Pm 3.75
Pm (0.2500, 0.8791, 0.5482)  4 Pm 3.60-3.72, 6 Sm 3.65-3.74, 2 Ac 3.75
Pm (0.7500, 0.6209, 0.0482)  4 Pm 3.60-3.72, 6 Sm 3.65-3.74, 2 Ac 3.75
Pm (0.7500, 0.1209, 0.4518)  4 Pm 3.60-3.72, 6 Sm 3.65-3.74, 2 Ac 3.75
Pm (0.2500, 0.3791, 0.9518)  4 Pm 3.60-3.72, 6 Sm 3.65-3.74, 2 Ac 3.75
Sm (0.2500, 0.8737, 0.7505)  4 Ac 3.69-3.70, 7 Sm 3.70-3.72, 1 Pm 3.74
Sm (0.7500, 0.6263, 0.2505)  4 Ac 3.69-3.70, 7 Sm 3.70-3.72, 1 Pm 3.74
Sm (0.7500, 0.1263, 0.2495)  4 Ac 3.69-3.70, 7 Sm 3.70-3.72, 1 Pm 3.74
Sm (0.2500, 0.3737, 0.7495)  4 Ac 3.69-3.70, 7 Sm 3.70-3.72, 1 Pm 3.74
Sm (0.7500, 0.1235, 0.6490)  3 Pm 3.65-3.66, 8 Sm 3.66-3.72, 1 Ac 3.71
Sm (0.2500, 0.3765, 0.1490)  3 Pm 3.65-3.66, 8 Sm 3.66-3.72, 1 Ac 3.71
Sm (0.2500, 0.8765, 0.3510)  3 Pm 3.65-3.66, 8 Sm 3.66-3.72, 1 Ac 3.71
Sm (0.7500, 0.6235, 0.8510)  3 Pm 3.65-3.66, 8 Sm 3.66-3.72, 1 Ac 3.71
Sm (0.7500, 0.6303, 0.4503)  7 Sm 3.66-3.77, 2 Pm 3.67, 3 Ac 3.70-3.73
Sm (0.2500, 0.8697, 0.9503)  7 Sm 3.66-3.77, 2 Pm 3.67, 3 Ac 3.70-3.73
Sm (0.2500, 0.3697, 0.5497)  7 Sm 3.66-3.77, 2 Pm 3.67, 3 Ac 3.70-3.73
Sm (0.7500, 0.1303, 0.0497)  7 Sm 3.66-3.77, 2 Pm 3.67, 3 Ac 3.70-3.73

Record 4
# AcPm4Sm7

An optimized crystal structure of AcPm4Sm7 (PBE, Alexandria).

Summary:
Energy above the lowest structure with this stoichiometry (eV/f.u.): 0.00
D(E_F) (states/eV per cell): 18.39
Final energy (eV per formula unit): -55.93
Mass density (g/cm³): 7.361
E_form (kJ/mol of formula units): 21.1

abc: 7.3827 9.7678 9.1392
angles: 81.12 89.98 40.91
Closest atoms and distances in Å follow each position.
Atoms (fractional coordinates):
Ac (0.0000, 0.0000, 0.0000)  10 Sm 3.67-3.70, 2 Pm 3.68
Pm (0.5339, 0.7189, 0.3351)  8 Sm 3.60-3.74, 3 Pm 3.65-3.69, 1 Ac 3.68
Pm (0.4661, 0.2811, 0.6649)  8 Sm 3.60-3.74, 3 Pm 3.65-3.69, 1 Ac 3.68
Pm (0.7192, 0.7810, 0.6674)  4 Pm 3.63-3.69, 8 Sm 3.63-3.69
Pm (0.2808, 0.2190, 0.3326)  4 Pm 3.63-3.69, 8 Sm 3.63-3.69
Sm (0.7530, 0.5001, 0.9999)  3 Pm 3.63-3.66, 7 Sm 3.65-3.74, 2 Ac 3.70
Sm (0.2470, 0.4999, 0.0001)  3 Pm 3.63-3.66, 7 Sm 3.65-3.74, 2 Ac 3.70
Sm (0.9724, 0.2808, 0.6654)  6 Pm 3.60-3.74, 5 Sm 3.63-3.73, 1 Ac 3.67
Sm (0.0276, 0.7192, 0.3346)  6 Pm 3.60-3.74, 5 Sm 3.63-3.73, 1 Ac 3.67
Sm (0.2235, 0.7767, 0.6638)  6 Sm 3.62-3.73, 5 Pm 3.63-3.73, 1 Ac 3.68
Sm (0.5000, 0.0000, 0.0000)  4 Pm 3.63-3.65, 6 Sm 3.65-3.68, 2 Ac 3.69
Sm (0.7765, 0.2233, 0.3362)  6 Sm 3.62-3.73, 5 Pm 3.63-3.73, 1 Ac 3.68

Record 5
# AcPmSmSn

An optimized crystal structure of AcPmSmSn (PBE, Alexandria).

Summary:
D(E_F) (states/eV per cell): 6.62
Final energy (eV per formula unit): -18.43
Mass density (g/cm³): 8.391
E_form (kJ/mol of formula units): -81.7

abc: 5.6401 5.6401 5.6401
angles: 60.00 60.00 60.00
Closest atoms and distances in Å follow each position.
Atoms (fractional coordinates):
Ac (0.0000, 0.0000, 0.0000)  4 Sm 3.45, 4 Pm 3.45
Sn (0.5000, 0.5000, 0.5000)  4 Pm 3.45, 4 Sm 3.45
Sm (0.2500, 0.2500, 0.2500)  4 Ac 3.45, 4 Sn 3.45
Pm (0.7500, 0.7500, 0.7500)  4 Sn 3.45, 4 Ac 3.45

Record 6
# AcTb2PmSm5

An optimized crystal structure of AcTb2PmSm5 (PBE, Alexandria).

Summary:
D(E_F) (states/eV per cell): 22.15
Final energy (eV per formula unit): -40.41
Mass density (g/cm³): 7.438
E_form (kJ/mol of formula units): 125.5

abc: 5.6046 12.4484 9.4692
angles: 90.00 90.00 103.01
Closest atoms and distances in Å follow each position.
Atoms (fractional coordinates):
Ac (0.6021, 0.2041, 0.9280)  5 Sm 3.44-3.76
Ac (0.3979, 0.7959, 0.4280)  5 Sm 3.44-3.76
Tb (0.8878, 0.7756, 0.7832)  9 Sm 3.43-3.79
Tb (0.1705, 0.3411, 0.6768)  6 Sm 3.41-3.74, 3 Pm 3.79-3.80
Tb (0.1122, 0.2244, 0.2832)  9 Sm 3.43-3.79
Tb (0.8295, 0.6589, 0.1768)  6 Sm 3.41-3.74, 3 Pm 3.79-3.80
Pm (0.7614, 0.5229, 0.5376)  4 Sm 3.12-3.41
Pm (0.2386, 0.4771, 0.0376)  4 Sm 3.12-3.41
Sm (0.3965, 0.7930, 0.0306)  4 Sm 3.28-3.64, 4 Tb 3.52-3.66
Sm (0.7417, 0.4835, 0.8637)  3 Pm 3.12-3.25, 1 Ac 3.44
Sm (0.4759, 0.9518, 0.7505)  3 Sm 3.28-3.60, 2 Ac 3.49-3.59, 2 Tb 3.54
Sm (0.3096, 0.6193, 0.7266)  3 Tb 3.41-3.43, 3 Pm 3.41-3.53, 4 Sm 3.50-3.66, 1 Ac 3.55
Sm (0.0078, 0.0156, 0.5269)  2 Tb 3.43-3.79, 4 Sm 3.60-3.64
Sm (0.6035, 0.2070, 0.5306)  4 Sm 3.28-3.64, 4 Tb 3.52-3.66
Sm (0.2583, 0.5165, 0.3637)  3 Pm 3.12-3.25, 1 Ac 3.44
Sm (0.5241, 0.0482, 0.2505)  3 Sm 3.28-3.60, 2 Ac 3.49-3.59, 2 Tb 3.54
Sm (0.6904, 0.3807, 0.2266)  3 Tb 3.41-3.43, 3 Pm 3.41-3.53, 4 Sm 3.50-3.66, 1 Ac 3.55
Sm (0.9922, 0.9844, 0.0269)  2 Tb 3.43-3.79, 4 Sm 3.60-3.64

Record 7
# AcTb3PmSm

An optimized crystal structure of AcTb3PmSm (PBE, Alexandria).

Summary:
D(E_F) (states/eV per cell): 17.88
Final energy (eV per formula unit): -26.13
Mass density (g/cm³): 7.803
E_form (kJ/mol of formula units): 129.3

abc: 5.7369 10.6186 7.2502
angles: 90.19 90.00 105.67
Closest atoms and distances in Å follow each position.
Atoms (fractional coordinates):
Ac (0.3549, 0.7097, 0.9673)  1 Sm 3.20, 2 Tb 3.36-3.47
Ac (0.6451, 0.2903, 0.0327)  1 Sm 3.20, 2 Tb 3.36-3.47
Tb (0.8341, 0.6682, 0.2671)  2 Sm 3.45, 2 Ac 3.63, 3 Tb 3.65-3.71
Tb (0.7807, 0.5614, 0.7464)  3 Sm 3.33-3.59, 1 Pm 3.36, 3 Ac 3.47-3.62, 3 Tb 3.65-3.71
Tb (0.4796, 0.9592, 0.2696)  1 Sm 3.23, 2 Pm 3.26, 1 Ac 3.36, 1 Tb 3.44
Tb (0.2193, 0.4386, 0.2536)  3 Sm 3.33-3.59, 1 Pm 3.36, 3 Ac 3.47-3.62, 3 Tb 3.65-3.71
Tb (0.5204, 0.0408, 0.7304)  1 Sm 3.23, 2 Pm 3.26, 1 Ac 3.36, 1 Tb 3.44
Tb (0.1659, 0.3318, 0.7329)  2 Sm 3.45, 2 Ac 3.63, 3 Tb 3.65-3.71
Pm (0.0555, 0.1110, 0.2850)  3 Tb 3.26-3.36
Pm (0.9445, 0.8890, 0.7150)  3 Tb 3.26-3.36
Sm (0.6491, 0.2982, 0.4738)  1 Ac 3.20, 4 Tb 3.23-3.45
Sm (0.3509, 0.7018, 0.5262)  1 Ac 3.20, 4 Tb 3.23-3.45

Record 8
# Ac2TbPm4Sm

An optimized crystal structure of Ac2TbPm4Sm (PBE, Alexandria).

Summary:
D(E_F) (states/eV per cell): 37.24
Final energy (eV per formula unit): -33.43
Mass density (g/cm³): 7.443
E_form (kJ/mol of formula units): 303.1

abc: 9.8493 9.8493 12.1454
angles: 128.06 128.06 88.54
Closest atoms and distances in Å follow each position.
Atoms (fractional coordinates):
Ac (0.5000, 0.0000, 0.0000)  6 Pm 3.57-3.59, 2 Sm 3.59
Ac (0.5000, 0.0000, 0.5000)  6 Pm 3.57-3.59, 2 Sm 3.59
Ac (0.0000, 0.0000, 0.5000)  2 Ac 3.59, 6 Pm 3.60-3.69
Ac (0.5000, 0.5000, 0.0000)  2 Ac 3.59, 6 Pm 3.60-3.69
Tb (0.5000, 0.5000, 0.5000)  6 Pm 3.27-3.38, 2 Tb 3.59
Tb (0.0000, 0.0000, 0.0000)  6 Pm 3.27-3.38, 2 Tb 3.59
Pm (0.2214, 0.7455, 0.9835)  1 Tb 3.27, 1 Pm 3.35, 2 Sm 3.47, 3 Ac 3.59-3.60
Pm (0.7545, 0.2786, 0.5165)  1 Tb 3.27, 1 Pm 3.35, 2 Sm 3.47, 3 Ac 3.59-3.60
Pm (0.2455, 0.7214, 0.4835)  1 Tb 3.27, 1 Pm 3.35, 2 Sm 3.47, 3 Ac 3.59-3.60
Pm (0.7786, 0.2545, 0.0165)  1 Tb 3.27, 1 Pm 3.35, 2 Sm 3.47, 3 Ac 3.59-3.60
Pm (0.7580, 0.7391, 0.9837)  1 Sm 3.31, 2 Tb 3.37-3.38, 3 Ac 3.57-3.69, 2 Pm 3.60
Pm (0.7609, 0.7420, 0.5163)  1 Sm 3.31, 2 Tb 3.37-3.38, 3 Ac 3.57-3.69, 2 Pm 3.60
Pm (0.2391, 0.2580, 0.4837)  1 Sm 3.31, 2 Tb 3.37-3.38, 3 Ac 3.57-3.69, 2 Pm 3.60
Pm (0.2420, 0.2609, 0.0163)  1 Sm 3.31, 2 Tb 3.37-3.38, 3 Ac 3.57-3.69, 2 Pm 3.60
Sm (0.0000, 0.5000, 0.0000)  6 Pm 3.31-3.47, 2 Ac 3.59
Sm (0.0000, 0.5000, 0.5000)  6 Pm 3.31-3.47, 2 Ac 3.59

Record 9
# AcTb5PmSm2

An optimized crystal structure of AcTb5PmSm2 (PBE, Alexandria).

Summary:
D(E_F) (states/eV per cell): 20.25
Final energy (eV per formula unit): -39.19
Mass density (g/cm³): 7.896
E_form (kJ/mol of formula units): 218.0

abc: 8.8796 8.8796 10.0349
angles: 116.26 116.26 90.00
Closest atoms and distances in Å follow each position.
Atoms (fractional coordinates):
Ac (0.2500, 0.2500, 0.5000)  10 Tb 3.70-3.91
Ac (0.7500, 0.7500, 0.5000)  10 Tb 3.70-3.91
Tb (0.9269, 0.4269, 0.2621)  1 Sm 3.04, 1 Pm 3.17
Tb (0.6648, 0.1648, 0.7379)  1 Sm 3.04, 1 Pm 3.17
Tb (0.0731, 0.5731, 0.7379)  1 Sm 3.04, 1 Pm 3.17
Tb (0.1648, 0.0731, 0.7379)  1 Sm 3.04, 1 Pm 3.17
Tb (0.5731, 0.6648, 0.7379)  1 Sm 3.04, 1 Pm 3.17
Tb (0.8352, 0.9269, 0.2621)  1 Sm 3.04, 1 Pm 3.17
Tb (0.4269, 0.3352, 0.2621)  1 Sm 3.04, 1 Pm 3.17
Tb (0.3352, 0.8352, 0.2621)  1 Sm 3.04, 1 Pm 3.17
Tb (0.5000, 0.5000, 0.0000)  4 Sm 3.56, 8 Tb 3.79, 2 Ac 3.91
Tb (0.0000, 0.0000, 0.0000)  4 Sm 3.56, 8 Tb 3.79, 2 Ac 3.91
Pm (0.2500, 0.7500, 0.5000)  4 Tb 3.17
Pm (0.7500, 0.2500, 0.5000)  4 Tb 3.17
Sm (0.1167, 0.3833, 0.0000)  1 Sm 2.93, 2 Tb 3.04
Sm (0.6167, 0.1167, 0.0000)  1 Sm 2.93, 2 Tb 3.04
Sm (0.3833, 0.8833, 0.0000)  1 Sm 2.93, 2 Tb 3.04
Sm (0.8833, 0.6167, 0.0000)  1 Sm 2.93, 2 Tb 3.04

Record 10
# AcTb2Pm6Sm3

An optimized crystal structure of AcTb2Pm6Sm3 (PBE, Alexandria).

Summary:
D(E_F) (states/eV per cell): 17.26
Final energy (eV per formula unit): -55.75
Mass density (g/cm³): 7.455
E_form (kJ/mol of formula units): 27.2

abc: 6.3327 6.3327 12.1504
angles: 95.01 95.01 119.97
Closest atoms and distances in Å follow each position.
Atoms (fractional coordinates):
Ac (0.0000, 0.0000, 0.0000)  6 Tb 3.66, 6 Pm 3.69-3.70
Tb (0.3335, 0.6665, 0.0000)  3 Tb 3.65-3.66, 3 Ac 3.66, 6 Pm 3.68
Tb (0.6665, 0.3335, 0.0000)  3 Tb 3.65-3.66, 3 Ac 3.66, 6 Pm 3.68
Pm (0.9160, 0.5797, 0.7476)  3 Sm 3.62-3.64, 6 Pm 3.64-3.69, 2 Tb 3.68, 1 Ac 3.69
Pm (0.7480, 0.7480, 0.2526)  3 Sm 3.63-3.64, 6 Pm 3.64-3.69, 2 Tb 3.68, 1 Ac 3.70
Pm (0.0840, 0.4203, 0.2524)  3 Sm 3.62-3.64, 6 Pm 3.64-3.69, 2 Tb 3.68, 1 Ac 3.69
Pm (0.5797, 0.9160, 0.7476)  3 Sm 3.62-3.64, 6 Pm 3.64-3.69, 2 Tb 3.68, 1 Ac 3.69
Pm (0.2520, 0.2520, 0.7474)  3 Sm 3.63-3.64, 6 Pm 3.64-3.69, 2 Tb 3.68, 1 Ac 3.70
Pm (0.4203, 0.0840, 0.2524)  3 Sm 3.62-3.64, 6 Pm 3.64-3.69, 2 Tb 3.68, 1 Ac 3.69
Sm (0.1672, 0.8328, 0.5000)  6 Pm 3.62-3.64, 6 Sm 3.65-3.67
Sm (0.8328, 0.1672, 0.5000)  6 Pm 3.62-3.64, 6 Sm 3.65-3.67
Sm (0.5000, 0.5000, 0.5000)  6 Pm 3.63-3.64, 6 Sm 3.65-3.66

Record 11
# AcTb2Pm6Sm

An optimized crystal structure of AcTb2Pm6Sm (PBE, Alexandria).

Summary:
D(E_F) (states/eV per cell): 29.00
Final energy (eV per formula unit): -45.39
Mass density (g/cm³): 7.354
E_form (kJ/mol of formula units): 116.3

abc: 9.7960 9.0578 9.0578
angles: 117.80 93.15 93.15
Closest atoms and distances in Å follow each position.
Atoms (fractional coordinates):
Ac (0.2500, 0.9719, 0.0281)  4 Tb 3.51-3.58, 4 Pm 3.73-3.84
Ac (0.7500, 0.0281, 0.9719)  4 Tb 3.51-3.58, 4 Pm 3.73-3.84
Tb (0.4533, 0.8000, 0.6898)  6 Pm 3.33-3.62, 2 Ac 3.51-3.58, 1 Sm 3.65
Tb (0.0467, 0.3102, 0.2000)  6 Pm 3.33-3.62, 2 Ac 3.51-3.58, 1 Sm 3.65
Tb (0.5467, 0.2000, 0.3102)  6 Pm 3.33-3.62, 2 Ac 3.51-3.58, 1 Sm 3.65
Tb (0.9533, 0.6898, 0.8000)  6 Pm 3.33-3.62, 2 Ac 3.51-3.58, 1 Sm 3.65
Pm (0.0550, 0.1216, 0.7500)  7 Pm 3.48-3.88, 1 Tb 3.62, 1 Ac 3.84
Pm (0.4450, 0.2500, 0.8784)  7 Pm 3.48-3.88, 1 Tb 3.62, 1 Ac 3.84
Pm (0.9450, 0.8784, 0.2500)  7 Pm 3.48-3.88, 1 Tb 3.62, 1 Ac 3.84
Pm (0.5550, 0.7500, 0.1216)  7 Pm 3.48-3.88, 1 Tb 3.62, 1 Ac 3.84
Pm (0.3184, 0.9844, 0.4429)  3 Pm 3.30-3.63, 2 Tb 3.50-3.60, 1 Sm 3.56
Pm (0.1816, 0.5571, 0.0156)  3 Pm 3.30-3.63, 2 Tb 3.50-3.60, 1 Sm 3.56
Pm (0.6816, 0.0156, 0.5571)  3 Pm 3.30-3.63, 2 Tb 3.50-3.60, 1 Sm 3.56
Pm (0.8184, 0.4429, 0.9844)  3 Pm 3.30-3.63, 2 Tb 3.50-3.60, 1 Sm 3.56
Pm (0.1189, 0.7083, 0.4921)  4 Pm 3.30-3.62, 3 Tb 3.33-3.51, 2 Sm 3.50-3.65
Pm (0.3811, 0.5079, 0.2917)  4 Pm 3.30-3.62, 3 Tb 3.33-3.51, 2 Sm 3.50-3.65
Pm (0.8811, 0.2917, 0.5079)  4 Pm 3.30-3.62, 3 Tb 3.33-3.51, 2 Sm 3.50-3.65
Pm (0.6189, 0.4921, 0.7083)  4 Pm 3.30-3.62, 3 Tb 3.33-3.51, 2 Sm 3.50-3.65
Sm (0.2500, 0.4100, 0.5900)  6 Pm 3.50-3.65, 2 Tb 3.65
Sm (0.7500, 0.5900, 0.4100)  6 Pm 3.50-3.65, 2 Tb 3.65

Record 12
# AcTbPm2Sm

An optimized crystal structure of AcTbPm2Sm (PBE, Alexandria).

Summary:
D(E_F) (states/eV per cell): 13.39
Final energy (eV per formula unit): -21.26
Mass density (g/cm³): 7.252
E_form (kJ/mol of formula units): 164.1

abc: 7.3482 8.4023 7.4307
angles: 124.43 90.00 90.00
Closest atoms and distances in Å follow each position.
Atoms (fractional coordinates):
Ac (0.2500, 0.7578, 0.5155)  1 Sm 3.64, 2 Tb 3.75, 4 Pm 4.00
Ac (0.7500, 0.2422, 0.4845)  1 Sm 3.64, 2 Tb 3.75, 4 Pm 4.00
Tb (0.7500, 0.6952, 0.3905)  1 Sm 3.07, 4 Pm 3.43
Tb (0.2500, 0.3048, 0.6095)  1 Sm 3.07, 4 Pm 3.43
Pm (0.5000, 0.3053, 0.0000)  2 Sm 3.22, 1 Pm 3.27, 2 Tb 3.43
Pm (0.0000, 0.6947, 0.0000)  2 Sm 3.22, 1 Pm 3.27, 2 Tb 3.43
Pm (0.5000, 0.6947, 0.0000)  2 Sm 3.22, 1 Pm 3.27, 2 Tb 3.43
Pm (0.0000, 0.3053, 0.0000)  2 Sm 3.22, 1 Pm 3.27, 2 Tb 3.43
Sm (0.2500, 0.0545, 0.1090)  1 Tb 3.07, 4 Pm 3.22
Sm (0.7500, 0.9455, 0.8910)  1 Tb 3.07, 4 Pm 3.22